a | A plane-wave DFT calculation with PBE-GGA was carried out for a relaxed structure of Zr3AlGe.

The structure in extended XYZ format:
```
5
Lattice="4.9874 0.0000 0.0000 0.0000 4.9874 0.0000 0.0000 0.0000 4.9874" Properties=species:S:1:pos:R:3 pbc="T T T"
Zr 0.0000 0.0000 2.4937
Zr 0.0000 2.4937 0.0000
Zr 2.4937 0.0000 0.0000
Al 2.4937 2.4937 2.4937
Ge 0.0000 0.0000 0.0000
```

**D(E_F)**: 4.57 states/eV/f.u.

***

b | A plane-wave DFT calculation with PBE-GGA was carried out for a relaxed structure of Zr3AlGe.

The structure in extended XYZ format:
```
20
Lattice="5.2170 -3.3263 0.0000 5.2170 3.3263 0.0000 -3.7417 0.0000 12.4067" Properties=species:S:1:pos:R:3 pbc="T T T"
Zr -1.2602 0.4141 10.0506
Zr 0.6062 0.6375 7.4406
Zr 1.4699 1.8075 11.8728
Zr 0.6107 -0.4141 3.8473
Zr 3.3516 1.8075 6.7373
Zr 2.4770 -0.6375 1.2373
Zr 4.2153 0.6375 11.1694
Zr 3.3407 -1.8075 5.6694
Zr 6.0816 0.4141 8.5594
Zr 5.2225 -1.8075 0.5339
Zr 6.0862 -0.6375 4.9661
Zr 7.9525 -0.4141 2.3561
Al 3.3846 0.7448 4.0881
Al 5.1786 0.7448 2.1153
Al 1.5138 -0.7448 10.2914
Al 3.3077 -0.7448 8.3187
Ge 2.6085 1.6631 0.0000
Ge 2.4107 1.6072 9.3050
Ge 0.7377 -1.6631 6.2034
Ge 4.2816 -1.6072 3.1017
```

**D(E_F)**: 4.02 states/eV/f.u.

***

Which of them is most stable? Easy: b.

***

a | A plane-wave DFT calculation with PBE-GGA was carried out for a relaxed structure of ZrAl3Ge.

The structure in extended XYZ format:
```
5
Lattice="5.2035 0.0000 0.0000 0.0000 5.2035 0.0000 0.0000 0.0000 5.2035" Properties=species:S:1:pos:R:3 pbc="T T T"
Zr 0.0000 0.0000 0.0000
Al 0.0000 0.0000 2.6017
Al 0.0000 2.6017 0.0000
Al 2.6017 0.0000 0.0000
Ge 2.6017 2.6017 2.6017
```

**D(E_F)**: 3.72 states/eV/f.u.

***

b | A plane-wave DFT calculation with PBE-GGA was carried out for a relaxed structure of ZrAl3Ge.

The structure in extended XYZ format:
```
5
Lattice="4.7780 0.0000 0.0000 0.0000 4.7780 0.0000 0.0000 0.0000 4.7780" Properties=species:S:1:pos:R:3 pbc="T T T"
Zr 0.0000 0.0000 0.0000
Al 0.0000 2.3890 2.3890
Al 2.3890 0.0000 2.3890
Al 2.3890 2.3890 0.0000
Ge 2.3890 2.3890 2.3890
```

**D(E_F)**: 3.02 states/eV/f.u.

***

Which of them is most stable? Easy: b.

***

a | A plane-wave DFT calculation with PBE-GGA was carried out for a relaxed structure of AlH.

The structure in extended XYZ format:
```
2
Lattice="2.7665 0.0000 0.0000 -1.3832 2.3958 0.0000 0.0000 0.0000 3.5055" Properties=species:S:1:pos:R:3 pbc="T T T"
Al 0.0000 0.0000 0.0000
H 0.0000 0.0000 1.7528
```

**D(E_F)**: 0.43 states/eV/f.u.

***

b | A plane-wave DFT calculation with PBE-GGA was carried out for a relaxed structure of AlH.

The structure in extended XYZ format:
```
8
Lattice="-4.4041 4.4041 1.3315 4.4041 -4.4041 1.3315 4.4041 4.4041 -1.3315" Properties=species:S:1:pos:R:3 pbc="T T T"
Al 2.7143 0.4329 0.0000
Al 3.9711 -1.6898 1.3315
Al 0.4329 6.0939 0.0000
Al 1.6898 3.9711 1.3315
H 5.1410 2.8321 0.0000
H 2.8321 3.6672 0.0000
H 1.5719 0.7369 1.3315
H -0.7369 1.5719 1.3315
```

**D(E_F)**: 0.21 states/eV/f.u.

***

c | A plane-wave DFT calculation with PBE-GGA was carried out for a relaxed structure of AlH.

The structure in extended XYZ format:
```
12
Lattice="5.4191 0.0000 0.0000 0.0000 5.4191 0.0000 0.0000 0.0000 5.4191" Properties=species:S:1:pos:R:3 pbc="T T T"
Al 0.0000 1.3548 2.7095
Al 0.0000 4.0643 2.7095
Al 1.3548 2.7095 0.0000
Al 2.7095 0.0000 1.3548
Al 2.7095 0.0000 4.0643
Al 4.0643 2.7095 0.0000
H 0.0000 2.7095 1.3548
H 0.0000 2.7095 4.0643
H 1.3548 0.0000 2.7095
H 2.7095 1.3548 0.0000
H 2.7095 4.0643 0.0000
H 4.0643 0.0000 2.7095
```

**D(E_F)**: 0.61 states/eV/f.u.

***

d | A plane-wave DFT calculation with PBE-GGA was carried out for a relaxed structure of AlH.

The structure in extended XYZ format:
```
12
Lattice="7.5415 0.0000 0.0000 -3.7707 6.5311 0.0000 0.0000 0.0000 2.8542" Properties=species:S:1:pos:R:3 pbc="T T T"
Al 0.0000 2.3818 0.7136
Al -1.7081 5.3402 0.7136
Al 2.0627 1.1909 2.1407
Al 1.7081 5.3402 0.7136
Al 5.4788 1.1909 2.1407
Al 3.7707 4.1493 2.1407
H -1.1754 3.6755 0.7136
H 1.1754 3.6755 0.7136
H 0.0000 5.7112 0.7136
H 3.7707 0.8198 2.1407
H 2.5954 2.8556 2.1407
H 4.9461 2.8556 2.1407
```

**D(E_F)**: 0.45 states/eV/f.u.

***

Which of them is most stable? Easy: a.

***

a | A plane-wave DFT calculation with PBE-GGA was carried out for a relaxed structure of AlH.

The structure in extended XYZ format:
```
16
Lattice="9.0528 0.0000 0.0000 0.0000 4.9089 0.0000 0.0000 0.0000 3.9161" Properties=species:S:1:pos:R:3 pbc="T T T"
Al 0.7250 1.2272 0.9686
Al 1.7785 3.6817 0.9754
Al 2.7479 1.2272 2.9335
Al 3.8014 3.6817 2.9267
Al 5.2514 1.2272 0.9894
Al 6.3049 3.6817 0.9826
Al 7.2743 1.2272 2.9407
Al 8.3277 3.6817 2.9475
H 0.8707 1.2272 2.9344
H 0.9712 3.6817 2.9186
H 3.5552 1.2272 0.9605
H 3.6556 3.6817 0.9763
H 5.3971 1.2272 2.9398
H 5.4976 3.6817 2.9556
H 8.0816 1.2272 0.9975
H 8.1820 3.6817 0.9817
```

**D(E_F)**: 0.57 states/eV/f.u.

***

b | A plane-wave DFT calculation with PBE-GGA was carried out for a relaxed structure of AlH.

The structure in extended XYZ format:
```
8
Lattice="0.0000 3.3690 4.0702 2.9382 0.0000 4.0702 2.9382 3.3690 0.0000" Properties=species:S:1:pos:R:3 pbc="T T T"
Al 2.2036 0.5491 3.0526
Al 3.6727 2.2336 5.0877
Al 2.2036 4.5043 3.0526
Al 3.6727 6.1888 5.0877
H 2.2036 2.5267 2.0763
H 2.2036 2.5267 4.0289
H 3.6727 4.2112 4.1114
H 3.6727 4.2112 6.0640
```

**D(E_F)**: 0.47 states/eV/f.u.

***

c | A plane-wave DFT calculation with PBE-GGA was carried out for a relaxed structure of AlH.

The structure in extended XYZ format:
```
8
Lattice="4.2801 0.0000 0.0000 0.0000 4.2801 0.0000 0.0000 0.0000 4.1829" Properties=species:S:1:pos:R:3 pbc="T T T"
Al 1.0082 1.0082 0.0000
Al 1.1319 3.1483 2.0914
Al 3.1483 1.1319 2.0914
Al 3.2720 3.2720 0.0000
H 0.7917 0.7917 2.0914
H 1.3484 2.9318 0.0000
H 2.9318 1.3484 0.0000
H 3.4884 3.4884 2.0914
```

**D(E_F)**: 0.35 states/eV/f.u.

***

Which of them is most stable? Easy: b.

***

a | A plane-wave DFT calculation with PBE-GGA was carried out for a relaxed structure of AlH.

The structure in extended XYZ format:
```
2
Lattice="0.0000 2.1756 2.1756 2.1756 0.0000 2.1756 2.1756 2.1756 0.0000" Properties=species:S:1:pos:R:3 pbc="T T T"
Al 0.0000 0.0000 0.0000
H 1.0878 1.0878 1.0878
```

**D(E_F)**: 0.38 states/eV/f.u.

***

b | A plane-wave DFT calculation with PBE-GGA was carried out for a relaxed structure of AlH.

The structure in extended XYZ format:
```
12
Lattice="2.7838 0.0000 0.0000 0.0000 12.1939 0.0000 0.0000 0.0000 3.6346" Properties=species:S:1:pos:R:3 pbc="T T T"
Al 0.6960 1.2412 0.5877
Al 0.6960 4.8557 0.5877
Al 0.6960 9.1454 1.4852
Al 2.0879 3.0485 2.1494
Al 2.0879 7.3382 3.0469
Al 2.0879 10.9527 3.0469
H 0.6960 0.1922 2.7231
H 0.6960 3.0485 3.3966
H 0.6960 5.9048 2.7231
H 2.0879 6.2891 0.9115
H 2.0879 9.1454 0.2380
H 2.0879 12.0017 0.9115
```

**D(E_F)**: 0.28 states/eV/f.u.

***

c | A plane-wave DFT calculation with PBE-GGA was carried out for a relaxed structure of AlH.

The structure in extended XYZ format:
```
8
Lattice="-2.8355 2.8355 2.8355 2.8355 -2.8355 2.8355 2.8355 2.8355 -2.8355" Properties=species:S:1:pos:R:3 pbc="T T T"
Al 1.1967 1.1967 -1.1967
Al 1.1967 -1.1967 1.1967
Al -1.1967 1.1967 1.1967
Al 1.6388 1.6388 1.6388
H 2.1800 2.1800 -2.1800
H 2.1800 -2.1800 2.1800
H 0.6555 0.6555 0.6555
H -2.1800 2.1800 2.1800
```

**D(E_F)**: 0.49 states/eV/f.u.

***

d | A plane-wave DFT calculation with PBE-GGA was carried out for a relaxed structure of AlH.

The structure in extended XYZ format:
```
2
Lattice="0.0000 2.1134 2.1134 2.1134 0.0000 2.1134 2.1134 2.1134 0.0000" Properties=species:S:1:pos:R:3 pbc="T T T"
Al 0.0000 0.0000 0.0000
H 2.1134 2.1134 2.1134
```

**D(E_F)**: 0.80 states/eV/f.u.

***

Which of them is most stable? Easy: b.

***

a | A plane-wave DFT calculation with PBE-GGA was carried out for a relaxed structure of AlH.

The structure in extended XYZ format:
```
4
Lattice="2.8917 0.0000 0.0000 0.0000 2.9043 0.0000 0.0000 0.0000 5.4223" Properties=species:S:1:pos:R:3 pbc="T T T"
Al 0.7229 0.7261 0.9218
Al 2.1688 2.1782 4.5004
H 0.7229 2.1782 1.9626
H 2.1688 0.7261 3.4597
```

**D(E_F)**: 0.16 states/eV/f.u.

***

b | A plane-wave DFT calculation with PBE-GGA was carried out for a relaxed structure of AlH.

The structure in extended XYZ format:
```
4
Lattice="3.1126 0.0000 0.0000 -1.5563 2.6956 0.0000 0.0000 0.0000 5.0380" Properties=species:S:1:pos:R:3 pbc="T T T"
Al 0.0000 1.7971 0.0000
Al 1.5563 0.8985 2.5190
H 0.0000 1.7971 3.1935
H 1.5563 0.8985 0.6745
```

**D(E_F)**: 0.28 states/eV/f.u.

***

c | A plane-wave DFT calculation with PBE-GGA was carried out for a relaxed structure of AlH.

The structure in extended XYZ format:
```
12
Lattice="5.0225 0.0000 0.0000 0.0000 8.7111 0.0000 0.0000 0.0000 2.9419" Properties=species:S:1:pos:R:3 pbc="T T T"
Al 1.2556 0.7968 0.0054
Al 1.2556 3.5587 0.0054
Al 1.2556 6.5333 0.0238
Al 3.7669 2.1778 2.9181
Al 3.7669 5.1524 2.9365
Al 3.7669 7.9143 2.9365
H 1.2556 2.1778 1.4710
H 1.2556 4.5610 1.4751
H 1.2556 8.5056 1.4751
H 3.7669 0.2055 1.4669
H 3.7669 4.1501 1.4669
H 3.7669 6.5333 1.4710
```

**D(E_F)**: 0.39 states/eV/f.u.

***

Which of them is most stable? Easy: a.